Entry 1:
The following is a PBE calculation of an optimized crystal structure of Pr2HoErBi4, from Alexandria via LeMat-Bulk.

Summary:
Its space-group type is P2/m. As for the calculated total energy: -41.3 eV per cell. As for the calculated volume: 266.3 Å³ per cell. For the formation energy, the calculation gives -0.888 eV per atom.

Cell lengths 7.868, 4.554, 7.884 Å; angles 90.00, 109.51, 90.00 degrees
Atoms (fractional coordinates):
Pr1 0.000 0.000 0.000
Pr2 0.000 0.500 0.500
Ho1 0.500 0.000 0.500
Er1 0.500 0.500 0.000
Bi1 0.262 0.500 0.254
Bi2 0.263 0.000 0.755
Bi3 0.737 0.000 0.245
Bi4 0.738 0.500 0.746

=====

Entry 2:
The following is a PBE calculation of an optimized crystal structure of Mn2AlHRh, from Alexandria via LeMat-Bulk.

Summary:
Its space-group type is P4/mmm. As for the calculated total energy: -33.9 eV per cell. As for the calculated volume: 54.5 Å³ per cell. The value obtained for the distance to the lowest polymorph of the same formula is 58.9 meV per atom.

Cell lengths 3.641, 3.641, 4.114 Å; angles 90.00, 90.00, 90.00 degrees
Atoms (fractional coordinates):
Mn1 0.000 0.500 0.000
Mn2 0.500 0.000 0.000
Al1 0.000 0.000 0.500
H1 0.000 0.000 0.000
Rh1 0.500 0.500 0.500